CoRe3F: optimized geometry, PBE with a Hubbard U.

The structure in extended XYZ format:
```
5
Lattice="4.167 0.000 0.000 0.000 4.167 0.000 0.000 0.000 4.167" Properties=species:S:1:pos:R:3 pbc="T T T"
Co 0.000 0.000 0.000
Re 0.000 2.084 2.084
Re 2.084 0.000 2.084
Re 2.084 2.084 0.000
F 2.084 2.084 2.084
```

Results
The total moment is 1.25 μB/cell. As for the density of states at the Fermi level: 5.5 states/eV/f.u. For the energy above the most stable polymorph in this dataset, the calculation gives 0 meV per atom.